[1]
# GGA-PBE TcBPO, relaxed
data_TcBPO
_symmetry_space_group_name_H-M 'P 1'
_symmetry_Int_Tables_number 1
_symmetry_space_group_name_Hall 'P 1'
_cell_length_a 2.718
_cell_length_b 6.204
_cell_length_c 5.237
_cell_angle_alpha 90.00
_cell_angle_beta 90.00
_cell_angle_gamma 90.00
loop_
_atom_site_label
_atom_site_type_symbol
_atom_site_fract_x
_atom_site_fract_y
_atom_site_fract_z
Tc1 Tc 0.000 0.070 0.000
Tc2 Tc 0.000 0.930 0.500
B1 B 0.500 0.368 0.455
B2 B 0.500 0.632 0.955
P1 P 0.500 0.334 0.825
P2 P 0.500 0.666 0.325
O1 O 0.000 0.260 0.362
O2 O 0.000 0.740 0.862
# distance to the lowest polymorph of the same formula = 71 meV/atom
# volume = 11.04 Å³ per atom
# size of the total moment = 0.00 μB/atom
# VASP energy = -7.3448 eV per atom
# crystal system = orthorhombic

***

[2]
# GGA-PBE ZnBPO, relaxed
data_ZnBPO
_symmetry_space_group_name_H-M 'P 1'
_symmetry_Int_Tables_number 1
_symmetry_space_group_name_Hall 'P 1'
_cell_length_a 3.331
_cell_length_b 3.331
_cell_length_c 8.700
_cell_angle_alpha 90.00
_cell_angle_beta 90.00
_cell_angle_gamma 90.00
loop_
_atom_site_label
_atom_site_type_symbol
_atom_site_fract_x
_atom_site_fract_y
_atom_site_fract_z
Zn1 Zn 0.250 0.750 0.000
Zn2 Zn 0.750 0.250 0.000
B1 B 0.250 0.250 0.440
B2 B 0.750 0.750 0.560
P1 P 0.250 0.250 0.800
P2 P 0.750 0.750 0.200
O1 O 0.250 0.750 0.500
O2 O 0.750 0.250 0.500
# distance to the lowest polymorph of the same formula = 1163 meV/atom
# volume = 12.07 Å³ per atom
# VASP energy = -4.2301 eV per atom
# crystal system = tetragonal

***

[3]
# GGA-PBE ZnBPO, relaxed
data_ZnBPO
_symmetry_space_group_name_H-M 'P 1'
_symmetry_Int_Tables_number 1
_symmetry_space_group_name_Hall 'P 1'
_cell_length_a 3.290
_cell_length_b 7.368
_cell_length_c 4.299
_cell_angle_alpha 90.00
_cell_angle_beta 90.00
_cell_angle_gamma 90.00
loop_
_atom_site_label
_atom_site_type_symbol
_atom_site_fract_x
_atom_site_fract_y
_atom_site_fract_z
Zn1 Zn 0.000 0.113 0.000
Zn2 Zn 0.000 0.887 0.500
B1 B 0.500 0.406 0.583
B2 B 0.500 0.594 0.083
P1 P 0.000 0.242 0.496
P2 P 0.000 0.758 0.996
O1 O 0.500 0.433 0.910
O2 O 0.500 0.567 0.410
# distance to the lowest polymorph of the same formula = 0 meV/atom
# volume = 13.03 Å³ per atom
# VASP energy = -5.3935 eV per atom
# crystal system = orthorhombic